Entry 1:
Computed, not measured: a relaxed structure of Sr2ZnI at the PBE level of DFT.

- Total moment: 0.0 μB/cell
- Energy above the most stable polymorph in this dataset: 206 meV/atom
- Formation energy (no corrections): -473 meV/atom

Unit cell a=8.632 b=8.632 c=7.521 alpha=54.98 beta=54.98 gamma=90.00
Positions (direct):
I 0.000 0.000 0.000
I 0.750 0.250 0.500
Sr 0.604 0.125 0.250
Sr 0.146 0.625 0.250
Sr 0.375 0.396 0.750
Sr 0.875 0.854 0.750
Zn 0.500 0.500 0.000
Zn 0.250 0.750 0.500

---

Entry 2:
Computed, not measured: a relaxed structure of PrZn3 at the PBE level of DFT.

- Total moment: 0.0 μB/cell
- Energy relative to the elements: -0.15 eV/atom

Unit cell a=4.384 b=4.412 c=4.429 alpha=90.00 beta=90.00 gamma=90.00
Positions (direct):
Pr 0.000 0.500 0.417
Zn 0.000 0.000 0.917
Zn 0.500 0.000 0.417
Zn 0.500 0.500 0.917

---

Entry 3:
Computed, not measured: a relaxed structure of BiAs2IBr at the PBE level of DFT.

- Total moment: 2.2 μB/cell
- Energy above the most stable polymorph in this dataset: 0 meV/atom
- Formation energy (no corrections): 633 meV/atom

Unit cell a=5.685 b=5.685 c=5.611 alpha=90.00 beta=90.00 gamma=90.00
Site moments in Bohr magnetons follow the coordinates.
Positions (direct):
I 0.500 0.500 0.500  0.11
As 0.000 0.500 0.000  0.47
As 0.500 0.000 0.000  0.47
Bi 0.000 0.000 0.000  -0.01
Br 0.000 0.000 0.500  0.05

---

Entry 4:
Computed, not measured: a relaxed structure of NdSmTm2S6 at the PBE level of DFT.

- Total moment: 0.0 μB/cell
- Formation energy (no corrections): -2042 meV/atom

Unit cell a=6.982 b=6.982 c=7.352 alpha=61.65 beta=61.65 gamma=60.00
Positions (direct):
Nd 0.809 0.809 0.573
Sm 0.311 0.311 0.066
Tm 0.516 0.516 0.453
Tm 0.014 0.014 0.957
S 0.630 0.228 0.244
S 0.228 0.898 0.244
S 0.898 0.630 0.244
S 0.392 0.728 0.744
S 0.728 0.136 0.745
S 0.136 0.392 0.745

---

Entry 5:
Computed, not measured: a relaxed structure of CdAsW2 at the PBE level of DFT.

- Total moment: 0.0 μB/cell
- Energy relative to the elements: 0.34 eV/atom
- Energy above the most stable polymorph in this dataset: 0 meV/atom

Unit cell a=3.225 b=3.225 c=7.046 alpha=90.00 beta=90.00 gamma=90.00
Positions (direct):
As 0.000 0.000 0.447
W 0.000 0.000 0.040
W 0.500 0.500 0.246
Cd 0.500 0.500 0.767

---

Entry 6:
Computed, not measured: a relaxed structure of Zr2BeZn at the PBE level of DFT.

- Total moment: 0.0 μB/cell
- Energy relative to the elements: -0.16 eV/atom
- Energy above the most stable polymorph in this dataset: 18 meV/atom

Unit cell a=4.615 b=4.615 c=4.615 alpha=60.00 beta=60.00 gamma=60.00
Positions (direct):
Be 0.000 0.000 0.000
Zn 0.500 0.500 0.500
Zr 0.250 0.250 0.250
Zr 0.750 0.750 0.750

---

Entry 7:
Computed, not measured: a relaxed structure of VZnRu2 at the PBE level of DFT.

- Total moment: 0.0 μB/cell
- Energy relative to the elements: -0.24 eV/atom

Unit cell a=3.015 b=3.015 c=6.025 alpha=90.00 beta=90.00 gamma=90.00
Positions (direct):
Ru 0.000 0.000 0.759
Ru 0.000 0.000 0.241
Zn 0.500 0.500 0.500
V 0.500 0.500 0.000

---

Entry 8:
Computed, not measured: a relaxed structure of LaFe2OsCl at the PBE level of DFT.

- Total moment: 5.5 μB/cell
- Formation energy (no corrections): 406 meV/atom

Unit cell a=4.597 b=5.760 c=4.597 alpha=90.00 beta=90.00 gamma=90.00
Site moments in Bohr magnetons follow the coordinates.
Positions (direct):
Cl 0.500 0.500 0.500  0.04
Os 0.000 0.000 0.000  0.09
Fe 0.000 0.000 0.500  2.90
Fe 0.500 0.000 0.000  2.31
La 0.000 0.500 0.000  -0.01

---

Entry 9:
Computed, not measured: a relaxed structure of LaPr2NdSm6 at the PBE level of DFT.

- Total moment: 0.0 μB/cell
- Energy relative to the elements: 0.12 eV/atom

Unit cell a=10.043 b=8.980 c=8.980 alpha=118.24 beta=94.78 gamma=94.78
Positions (direct):
La 0.250 0.404 0.596
La 0.750 0.596 0.404
Pr 0.459 0.812 0.711
Pr 0.041 0.289 0.188
Pr 0.541 0.188 0.289
Pr 0.959 0.711 0.812
Nd 0.250 0.982 0.018
Nd 0.750 0.018 0.982
Sm 0.056 0.119 0.743
Sm 0.444 0.257 0.881
Sm 0.944 0.881 0.257
Sm 0.556 0.743 0.119
Sm 0.317 0.972 0.424
Sm 0.183 0.576 0.028
Sm 0.683 0.028 0.576
Sm 0.817 0.424 0.972
Sm 0.122 0.704 0.496
Sm 0.378 0.504 0.296
Sm 0.878 0.296 0.504
Sm 0.622 0.496 0.704

---

Entry 10:
Computed, not measured: a relaxed structure of ZnCu3Sn at the PBE level of DFT.

- Total moment: 0.0 μB/cell
- Energy relative to the elements: 0.78 eV/atom
- Energy above the most stable polymorph in this dataset: 277 meV/atom

Unit cell a=4.868 b=4.868 c=4.868 alpha=90.00 beta=90.00 gamma=90.00
Positions (direct):
Zn 0.500 0.500 0.500
Sn 0.000 0.000 0.000
Cu 0.000 0.500 0.000
Cu 0.000 0.000 0.500
Cu 0.500 0.000 0.000

---

Entry 11:
Computed, not measured: a relaxed structure of BaAlSn2F8 at the PBE level of DFT.

- Total moment: 0.0 μB/cell
- Formation energy (no corrections): -2855 meV/atom

Unit cell a=4.658 b=6.307 c=7.493 alpha=83.89 beta=85.65 gamma=86.74
Positions (direct):
Ba 0.000 0.000 0.500
Al 0.000 0.000 0.000
Sn 0.468 0.436 0.761
Sn 0.532 0.564 0.239
F 0.203 0.848 0.181
F 0.745 0.784 0.028
F 0.807 0.134 0.177
F 0.797 0.152 0.819
F 0.255 0.216 0.972
F 0.193 0.866 0.823
F 0.540 0.765 0.459
F 0.460 0.235 0.541

---

Entry 12:
Computed, not measured: a relaxed structure of Er2OsBr at the PBE level of DFT.

- Total moment: 0.0 μB/cell
- Energy above the most stable polymorph in this dataset: 0 meV/atom
- Formation energy (no corrections): -714 meV/atom

Unit cell a=3.369 b=3.369 c=8.136 alpha=90.00 beta=90.00 gamma=90.00
Positions (direct):
Os 0.500 0.500 0.000
Br 0.500 0.500 0.500
Er 0.000 0.000 0.796
Er 0.000 0.000 0.204

---

Entry 13:
Computed, not measured: a relaxed structure of KAsRhSe2 at the PBE level of DFT.

- Total moment: 2.0 μB/cell
- Energy above the most stable polymorph in this dataset: 1860 meV/atom
- Formation energy (no corrections): 1714 meV/atom

Unit cell a=5.492 b=5.492 c=5.311 alpha=90.00 beta=90.00 gamma=90.00
Site moments in Bohr magnetons follow the coordinates.
Positions (direct):
As 0.000 0.000 0.500  0.04
Rh 0.500 0.500 0.500  1.56
K 0.000 0.000 0.000  0.01
Se 0.000 0.500 0.000  0.08
Se 0.500 0.000 0.000  0.08

---

Entry 14:
Computed, not measured: a relaxed structure of MnSiS3 at the PBE level of DFT.

- Total moment: 9.9 μB/cell
- Energy above the most stable polymorph in this dataset: 0 meV/atom
- Formation energy (no corrections): -550 meV/atom

Unit cell a=3.477 b=6.482 c=10.552 alpha=92.86 beta=90.00 gamma=105.56
Site moments in Bohr magnetons follow the coordinates.
Positions (direct):
Mn 0.646 0.291 0.906  4.22
Mn 0.354 0.709 0.094  4.22
Si 0.920 0.840 0.736  0.03
Si 0.080 0.160 0.264  0.03
S 0.363 0.725 0.626  0.03
S 0.637 0.275 0.374  0.03
S 0.846 0.692 0.917  0.08
S 0.154 0.308 0.083  0.08
S 0.089 0.179 0.754  0.06
S 0.911 0.821 0.246  0.06

---

Entry 15:
Computed, not measured: a relaxed structure of Li2LaTbSi2 at the PBE level of DFT.

- Total moment: 0.0 μB/cell
- Formation energy (no corrections): -552 meV/atom

Unit cell a=4.459 b=4.459 c=7.484 alpha=90.00 beta=90.00 gamma=120.00
Positions (direct):
Li 0.333 0.667 0.791
Li 0.667 0.333 0.209
La 0.000 0.000 0.500
Tb 0.000 0.000 0.000
Si 0.333 0.667 0.232
Si 0.667 0.333 0.768

---

Entry 16:
Computed, not measured: a relaxed structure of LaGe3Rh at the PBE level of DFT.

- Total moment: 0.0 μB/cell
- Energy relative to the elements: -0.21 eV/atom

Unit cell a=4.857 b=4.857 c=4.857 alpha=90.00 beta=90.00 gamma=90.00
Positions (direct):
Ge 0.000 0.500 0.000
Ge 0.000 0.000 0.500
Ge 0.500 0.000 0.000
Rh 0.000 0.000 0.000
La 0.500 0.500 0.500

---

Entry 17:
Computed, not measured: a relaxed structure of ZrZn4Tc at the PBE level of DFT.

- Total moment: 0.0 μB/cell
- Energy relative to the elements: -0.25 eV/atom

Unit cell a=5.032 b=5.032 c=5.032 alpha=60.00 beta=60.00 gamma=60.00
Positions (direct):
Tc 0.000 0.000 0.000
Zn 0.122 0.626 0.626
Zn 0.626 0.626 0.626
Zn 0.626 0.122 0.626
Zn 0.626 0.626 0.122
Zr 0.250 0.250 0.250

---

Entry 18:
Computed, not measured: a relaxed structure of TaSb2Mo at the PBE level of DFT.

- Total moment: 0.0 μB/cell
- Formation energy (no corrections): 516 meV/atom

Unit cell a=5.423 b=5.423 c=5.423 alpha=142.49 beta=122.94 gamma=70.30
Positions (direct):
Mo 0.250 0.750 0.500
Sb 0.007 0.007 0.000
Sb 0.493 0.493 0.000
Ta 0.750 0.250 0.500

---

Entry 19:
Computed, not measured: a relaxed structure of Mn2NiP at the PBE level of DFT.

- Total moment: 0.0 μB/cell
- Energy relative to the elements: -0.14 eV/atom

Unit cell a=3.921 b=3.921 c=2.761 alpha=90.00 beta=90.00 gamma=90.00
Positions (direct):
Mn 0.000 0.000 0.000
Mn 0.500 0.500 0.000
Ni 0.500 0.000 0.500
P 0.000 0.500 0.500

---

Entry 20:
Computed, not measured: a relaxed structure of K2PmTi2O7 at the PBE level of DFT.

- Total moment: 0.9 μB/cell
- Formation energy (no corrections): -2665 meV/atom

Unit cell a=3.902 b=3.902 c=11.225 alpha=79.99 beta=79.99 gamma=90.00
Site moments in Bohr magnetons follow the coordinates.
Positions (direct):
K 0.809 0.809 0.383  0.00
K 0.191 0.191 0.617  0.00
Pm 0.000 0.000 0.000  -0.02
Ti 0.597 0.597 0.806  -0.02
Ti 0.403 0.403 0.194  -0.02
O 0.500 0.500 0.000  0.33
O 0.321 0.321 0.358  0.05
O 0.679 0.679 0.642  0.05
O 0.920 0.420 0.159  0.10
O 0.420 0.920 0.159  0.10
O 0.580 0.080 0.841  0.10
O 0.080 0.580 0.841  0.10

---

For the records above, the corresponding calculated volume values read 40.9; 21.4; 36.3; 26.0; 18.3; 17.4; 13.7; 24.3; 35.2; 23.1; 18.2; 23.1; 32.0; 22.9; 21.5; 22.9; 15.0; 20.0; 10.6; 13.8 Å³/atom.